Record 1
# Sm6Dy3Tl | the Alexandria database | PBE-GGA | relaxed
data_Sm6Dy3Tl
_chemical_formula_sum 'Sm12 Dy6 Tl2'
_space_group_name_H-M_alt 'P 1'
_space_group_IT_number 1
_cell_length_a 11.374
_cell_length_b 11.374
_cell_length_c 6.392
_cell_angle_alpha 90.00
_cell_angle_beta 90.00
_cell_angle_gamma 128.92
loop_
_space_group_symop_operation_xyz
'x,y,z'
loop_
_atom_site_label
_atom_site_type_symbol
_atom_site_fract_x
_atom_site_fract_y
_atom_site_fract_z
Sm1 Sm 0.018 0.982 0.500
Sm2 Sm 0.098 0.532 0.972
Sm3 Sm 0.262 0.373 0.756
Sm4 Sm 0.287 0.713 0.530
Sm5 Sm 0.373 0.262 0.256
Sm6 Sm 0.468 0.902 0.972
Sm7 Sm 0.532 0.098 0.472
Sm8 Sm 0.627 0.738 0.756
Sm9 Sm 0.713 0.287 0.030
Sm10 Sm 0.738 0.627 0.256
Sm11 Sm 0.902 0.468 0.472
Sm12 Sm 0.982 0.018 0.000
Dy1 Dy 0.043 0.297 0.330
Dy2 Dy 0.297 0.043 0.830
Dy3 Dy 0.413 0.587 0.229
Dy4 Dy 0.587 0.413 0.729
Dy5 Dy 0.703 0.957 0.330
Dy6 Dy 0.957 0.703 0.830
Tl1 Tl 0.154 0.846 0.260
Tl2 Tl 0.846 0.154 0.760
# * calculated formation energy: 27 meV/atom
# * DOS(E_F): 1.20 states/eV per atom

***

Record 2
# Sm4Dy2Tl | the Alexandria database | PBE-GGA | relaxed
data_Sm4Dy2Tl
_chemical_formula_sum 'Sm4 Dy2 Tl1'
_space_group_name_H-M_alt 'P 1'
_space_group_IT_number 1
_cell_length_a 6.984
_cell_length_b 6.984
_cell_length_c 6.038
_cell_angle_alpha 90.00
_cell_angle_beta 90.00
_cell_angle_gamma 127.49
loop_
_space_group_symop_operation_xyz
'x,y,z'
loop_
_atom_site_label
_atom_site_type_symbol
_atom_site_fract_x
_atom_site_fract_y
_atom_site_fract_z
Sm1 Sm 0.136 0.864 0.000
Sm2 Sm 0.330 0.670 0.500
Sm3 Sm 0.670 0.330 0.500
Sm4 Sm 0.864 0.136 0.000
Dy1 Dy 0.384 0.616 0.000
Dy2 Dy 0.616 0.384 0.000
Tl1 Tl 0.000 0.000 0.500
# * calculated formation energy: 440 meV/atom
# * DOS(E_F): 1.28 states/eV per atom

***

| no. | E above lowest polymorph (meV per atom) |
| --- | --- |
| 1 | 8.7 |
| 2 | 206.1 |